Mn3O5F | PBE with a Hubbard U | optimized geometry

The structure in extended XYZ format:
```
18
Lattice="-1.608 2.540 -0.310 -4.488 -2.360 3.930 2.325 2.636 9.533" Properties=species:S:1:pos:R:3 pbc="T T T"
O -0.085 0.891 7.733
O -0.822 0.976 12.243
O -0.922 1.854 5.238
O -4.660 -0.563 4.810
O -2.053 -0.602 5.707
O -2.125 0.861 3.338
O -2.874 0.944 7.894
O -1.642 1.954 9.779
O -2.813 -0.532 10.211
O 0.950 1.913 10.736
F 0.631 0.801 3.291
F 0.896 3.390 8.395
Mn -0.734 2.719 11.346
Mn -1.436 0.189 8.984
Mn -4.427 -2.307 4.043
Mn -3.658 0.250 6.276
Mn -0.789 0.049 4.492
Mn -0.066 2.581 6.751
```

Values from the calculation:
Excess energy over the best structure of this formula in the dataset ... 9 meV/atom
Total magnetization ... 10.0 μB/f.u.